<w>
VASP calculation (PBE) on crystalline MgZnSO at its relaxed geometry.

CIF file:
```
data_MgZnSO
_cell_length_a 3.481
_cell_length_b 3.481
_cell_length_c 11.288
_cell_angle_alpha 90.00
_cell_angle_beta 90.00
_cell_angle_gamma 120.00
_symmetry_space_group_name_H-M 'P 1'
_symmetry_Int_Tables_number 1
_symmetry_space_group_name_Hall 'P 1'
loop_
_atom_site_label
_atom_site_type_symbol
_atom_site_fract_x
_atom_site_fract_y
_atom_site_fract_z
Mg1 Mg 0.667 0.333 0.771
O1 O 0.000 0.000 0.324
O2 O 0.000 0.000 0.824
S1 S 0.667 0.333 0.096
Zn1 Zn 0.000 0.000 0.496
S2 S 0.333 0.667 0.596
Mg2 Mg 0.333 0.667 0.271
Zn2 Zn 0.000 0.000 0.996
```

Summary:
Its space-group type is No. 186.

<x>
VASP calculation (PBE) on crystalline MgZnSO at its relaxed geometry.

CIF file:
```
data_MgZnSO
_cell_length_a 6.059
_cell_length_b 7.183
_cell_length_c 5.735
_cell_angle_alpha 90.00
_cell_angle_beta 90.00
_cell_angle_gamma 90.00
_symmetry_space_group_name_H-M 'P 1'
_symmetry_Int_Tables_number 1
_symmetry_space_group_name_Hall 'P 1'
loop_
_atom_site_label
_atom_site_type_symbol
_atom_site_fract_x
_atom_site_fract_y
_atom_site_fract_z
Zn1 Zn 0.945 0.348 0.039
Mg1 Mg 0.882 0.916 0.963
O1 O 0.414 0.100 0.616
O2 O 0.586 0.900 0.116
Mg2 Mg 0.618 0.916 0.463
O3 O 0.086 0.100 0.116
S1 S 0.069 0.644 0.132
O4 O 0.914 0.900 0.616
Mg3 Mg 0.118 0.084 0.463
Zn2 Zn 0.445 0.652 0.039
Zn3 Zn 0.055 0.652 0.539
S2 S 0.931 0.356 0.632
Zn4 Zn 0.555 0.348 0.539
Mg4 Mg 0.382 0.084 0.963
S3 S 0.431 0.644 0.632
S4 S 0.569 0.356 0.132
```

Summary:
Its space-group type is No. 29.

The most stable arrangement is <x>, and the next structure is 7.8 kJ/mol of atoms less stable.